A plane-wave DFT calculation with PBE-GGA was carried out for an optimized crystal structure of CuAgSn2.

Properties
**Energy of formation**: 0.391 eV per formula unit
**V**: 22.293 Å³/atom
**Total magnetic moment**: 0.00 μB per formula unit
**E**: -14.56 eV per cell
**Symmetry**: R3m, No. 160

abc: 4.3410 4.3410 6.0114
angles: 68.83 68.83 60.00
Last column: nearest neighbours and their distance in Å.
Fractional coordinates of all 4 atoms:
1 Sn 0.2671 0.2671 0.1987  3 Cu 2.73, 3 Ag 3.02
2 Sn 0.0680 0.0680 0.7961  3 Cu 2.74, 3 Ag 2.97
3 Ag 0.4981 0.4981 0.5058  1 Cu 2.77, 6 Sn 2.97-3.02
4 Cu 0.6669 0.6669 0.9994  6 Sn 2.73-2.74, 1 Ag 2.77